This record from Alexandria describes Tb3Zn9Ru2 after structural relaxation. The functional is PBE.

a = 4.346 Å, b = 8.068 Å, c = 8.068 Å
α = 69.26°, β = 74.37°, γ = 74.37°
Fractional positions:
Ru  0.500  0.320  0.680
Ru  0.500  0.680  0.320
Zn  0.875  0.403  0.847
Zn  0.125  0.153  0.597
Zn  0.340  0.300  0.020
Zn  0.340  0.020  0.300
Zn  0.660  0.980  0.700
Zn  0.875  0.847  0.403
Zn  0.125  0.597  0.153
Zn  0.000  0.500  0.500
Zn  0.660  0.700  0.980
Tb  0.308  0.692  0.692
Tb  0.000  0.000  0.000
Tb  0.692  0.308  0.308

## Properties
* energy of formation from the pure elements: -0.306 eV per atom
* DOS at the Fermi energy: 10.803 states/eV/cell

This record from Alexandria describes Tb4ZnRu after structural relaxation. The functional is PBE.

a = 4.867 Å, b = 4.867 Å, c = 6.941 Å
α = 89.87°, β = 89.94°, γ = 90.00°
Fractional positions:
Tb  0.501  0.997  0.259
Tb  0.001  0.497  0.259
Tb  0.002  0.498  0.737
Tb  0.502  0.998  0.737
Zn  0.501  0.497  0.998
Ru  0.001  0.997  0.498

## Properties
* energy of formation from the pure elements: -0.129 eV per atom
* E above lowest polymorph: 0.167 eV per atom
* DOS at the Fermi energy: 7.501 states/eV/cell

Question: Which value of DOS at the Fermi energy does entry 2 give?
Answer: 7.501 states/eV/cell